The following is a PBE-GGA calculation of crystalline LiYSi2 at its relaxed geometry, from the Alexandria database.

Unit cell a=4.1201 b=6.6316 c=10.8042 alpha=90.00 beta=90.00 gamma=90.00
With the nearest neighbours (Å) after each atom.
Sites, in units of the cell vectors:
Si 0.2500 0.0301 0.3334  2 Si 2.37, 3 Li 2.49-2.64
Si 0.7500 0.9699 0.6666  2 Si 2.37, 3 Li 2.49-2.64
Si 0.2500 0.6762 0.3665  2 Si 2.37, 2 Li 2.55
Si 0.2500 0.5301 0.1666  2 Si 2.37, 3 Li 2.49-2.64
Si 0.7500 0.3238 0.6335  2 Si 2.37, 2 Li 2.55
Si 0.7500 0.8238 0.8665  2 Si 2.37, 2 Li 2.55
Si 0.2500 0.1762 0.1335  2 Si 2.37, 2 Li 2.55
Si 0.7500 0.4699 0.8334  2 Si 2.37, 3 Li 2.49-2.64
Li 0.2500 0.6377 0.9455  5 Si 2.49-2.64
Li 0.7500 0.3623 0.0545  5 Si 2.49-2.64
Li 0.2500 0.1377 0.5545  5 Si 2.49-2.64
Li 0.7500 0.8623 0.4455  5 Si 2.49-2.64
Y 0.7500 0.8524 0.1557  9 Si 2.97-3.29, 1 Li 3.13
Y 0.2500 0.6476 0.6557  9 Si 2.97-3.29, 1 Li 3.13
Y 0.7500 0.3524 0.3443  9 Si 2.97-3.29, 1 Li 3.13
Y 0.2500 0.1476 0.8443  9 Si 2.97-3.29, 1 Li 3.13

Computed properties:
**Offset from the most stable computed form**: 0.01 kcal/mol of atoms
**Space group**: Pnma (62)
**ρ**: 3.42 g/cm3
**Magnetic moment**: 0.00 μB per formula unit
**ΔE_f (raw)**: -223 kJ/mol of formula units
**Calculated total energy**: -0.3958 Ry per atom